Crystalline CrAsBr2F at its relaxed geometry. Source: Alexandria, functional GGA+U.

Computed properties:
- calculated volume (A^3/atom) = 23.91
- energy (eV/cell) = -16.20
- space-group type = P4/mmm

POSCAR file:
```
CrAsBr2F
1.0
4.8931 0.0000 0.0000
0.0000 4.8931 0.0000
0.0000 0.0000 4.9937
Cr As Br F
1 1 2 1
Cartesian
0.0000 0.0000 0.0000
0.0000 0.0000 2.4968
0.0000 2.4466 0.0000
2.4466 0.0000 0.0000
2.4466 2.4466 2.4968
```